NaDy3Er2Te6 | PBE | relaxed

a = 9.7683 Å, b = 9.7683 Å, c = 8.7704 Å
α = 103.24°, β = 103.24°, γ = 25.69°
Positions (direct):
Na (0.0000, 0.0000, 0.0000)
Dy (0.0000, 0.0000, 0.5000)
Dy (0.3372, 0.3372, 0.1765)
Dy (0.6628, 0.6628, 0.8235)
Er (0.3314, 0.3314, 0.6584)
Er (0.6686, 0.6686, 0.3416)
Te (0.1663, 0.1663, 0.5816)
Te (0.1692, 0.1692, 0.0856)
Te (0.4967, 0.4967, 0.7481)
Te (0.5033, 0.5033, 0.2519)
Te (0.8308, 0.8308, 0.9144)
Te (0.8337, 0.8337, 0.4184)

Properties
**Total magnetization**: 0.00 μB per formula unit
**D(E_F)**: 0.380 states/eV per atom
**Calculated total energy**: -4.8676 eV per atom
**V**: 29.38 Å³/atom
**Space group**: C2/m

=====

Bi3OsN | PBE | relaxed

a = 4.7739 Å, b = 4.7739 Å, c = 4.7739 Å
α = 90.00°, β = 90.00°, γ = 90.00°
Positions (direct):
Bi (0.0000, 0.0000, 0.5000)
Bi (0.0000, 0.5000, 0.0000)
Bi (0.5000, 0.0000, 0.0000)
Os (0.5000, 0.5000, 0.5000)
N (0.0000, 0.0000, 0.0000)

Properties
**Total magnetization**: 0.00 μB per formula unit
**D(E_F)**: 1.061 states/eV per atom
**Calculated total energy**: -5.0926 eV per atom
**V**: 21.76 Å³/atom
**Space group**: Pm-3m

=====

YTaZn2 | PBE | relaxed

a = 4.8463 Å, b = 4.8463 Å, c = 4.8463 Å
α = 60.00°, β = 60.00°, γ = 60.00°
Positions (direct):
Y (0.0000, 0.0000, 0.0000)
Ta (0.7500, 0.7500, 0.7500)
Zn (0.2500, 0.2500, 0.2500)
Zn (0.5000, 0.5000, 0.5000)

Properties
**Total magnetization**: 2.74 μB per formula unit
**D(E_F)**: 0.697 states/eV per atom
**Formation energy**: 0.50 eV per atom
**V**: 20.12 Å³/atom
**Space group**: F-43m

=====

RbAgI2N | PBE | relaxed

a = 6.7850 Å, b = 6.7850 Å, c = 5.4619 Å
α = 90.00°, β = 90.00°, γ = 90.00°
Positions (direct):
Rb (0.0000, 0.0000, 0.0000)
Ag (0.5000, 0.5000, 0.5000)
I (0.0000, 0.5000, 0.0000)
I (0.5000, 0.0000, 0.0000)
N (0.0000, 0.0000, 0.5000)

Properties
**Total magnetization**: 3.02 μB per formula unit
**D(E_F)**: 0.554 states/eV per atom
**Calculated total energy**: -2.1310 eV per atom
**V**: 50.29 Å³/atom
**Space group**: P4/mmm

=====

NiPb4 | PBE | relaxed

a = 5.7210 Å, b = 5.7210 Å, c = 5.7210 Å
α = 109.47°, β = 109.47°, γ = 109.47°
Positions (direct):
Ni (0.0000, 0.0000, 0.0000)
Pb (0.0000, 0.0000, 0.5000)
Pb (0.0000, 0.5000, 0.0000)
Pb (0.5000, 0.0000, 0.0000)
Pb (0.5000, 0.5000, 0.5000)

Properties
**Total magnetization**: 0.00 μB per formula unit
**D(E_F)**: 1.070 states/eV per atom
**Formation energy**: 0.24 eV per atom
**V**: 28.83 Å³/atom
**Space group**: Im-3m

=====

Pm8Ho3Mg2 | PBE | relaxed

a = 6.3700 Å, b = 7.3423 Å, c = 9.6086 Å
α = 90.59°, β = 90.98°, γ = 109.33°
Positions (direct):
Pm (0.0405, 0.3761, 0.3525)
Pm (0.0455, 0.8693, 0.3225)
Pm (0.3998, 0.9694, 0.8219)
Pm (0.4373, 0.4730, 0.8073)
Pm (0.5627, 0.5270, 0.1927)
Pm (0.6002, 0.0306, 0.1781)
Pm (0.9545, 0.1307, 0.6775)
Pm (0.9595, 0.6239, 0.6475)
Ho (0.0000, 0.5000, 0.0000)
Ho (0.4890, 0.2426, 0.5008)
Ho (0.5110, 0.7574, 0.4992)
Mg (0.1715, 0.1587, 0.0613)
Mg (0.8285, 0.8413, 0.9387)

Properties
**Total magnetization**: 0.00 μB per formula unit
**D(E_F)**: 1.445 states/eV per atom
**Formation energy**: 0.08 eV per atom
**V**: 32.61 Å³/atom
**Space group**: P-1

=====

CuRe4Rh | PBE | relaxed

a = 5.1339 Å, b = 5.1339 Å, c = 5.1339 Å
α = 60.00°, β = 60.00°, γ = 60.00°
Positions (direct):
Cu (0.0000, 0.0000, 0.0000)
Re (0.1237, 0.6254, 0.6254)
Re (0.6254, 0.1237, 0.6254)
Re (0.6254, 0.6254, 0.1237)
Re (0.6254, 0.6254, 0.6254)
Rh (0.2500, 0.2500, 0.2500)

Properties
**Total magnetization**: 0.00 μB per formula unit
**D(E_F)**: 1.077 states/eV per atom
**Formation energy**: 0.59 eV per atom
**V**: 15.95 Å³/atom
**Space group**: F-43m

=====

Tm2Ga2CuRh5 | PBE | relaxed

a = 9.6900 Å, b = 9.6900 Å, c = 3.5056 Å
α = 90.00°, β = 90.00°, γ = 90.00°
Positions (direct):
Tm (0.1728, 0.3272, 0.0000)
Tm (0.3272, 0.8272, 0.0000)
Tm (0.6728, 0.1728, 0.0000)
Tm (0.8272, 0.6728, 0.0000)
Ga (0.1272, 0.6272, 0.0000)
Ga (0.3728, 0.1272, 0.0000)
Ga (0.6272, 0.8728, 0.0000)
Ga (0.8728, 0.3728, 0.0000)
Cu (0.0000, 0.0000, 0.0000)
Cu (0.5000, 0.5000, 0.0000)
Rh (0.0000, 0.5000, 0.5000)
Rh (0.0679, 0.8007, 0.5000)
Rh (0.1993, 0.0679, 0.5000)
Rh (0.3007, 0.5679, 0.5000)
Rh (0.4321, 0.3007, 0.5000)
Rh (0.5000, 0.0000, 0.5000)
Rh (0.5679, 0.6993, 0.5000)
Rh (0.6993, 0.4321, 0.5000)
Rh (0.8007, 0.9321, 0.5000)
Rh (0.9321, 0.1993, 0.5000)

Properties
**Total magnetization**: 0.00 μB per formula unit
**D(E_F)**: 0.477 states/eV per atom
**Formation energy**: -0.65 eV per atom
**V**: 16.46 Å³/atom
**Space group**: P4/mbm

=====

NaLa2As2 | PBE | relaxed

a = 6.7998 Å, b = 6.7998 Å, c = 6.7998 Å
α = 128.00°, β = 128.00°, γ = 76.63°
Positions (direct):
Na (0.0000, 0.0000, 0.0000)
La (0.2500, 0.7500, 0.5000)
La (0.7500, 0.2500, 0.5000)
As (0.2827, 0.2827, 0.0000)
As (0.7173, 0.7173, 0.0000)

Properties
**Total magnetization**: 0.00 μB per formula unit
**D(E_F)**: 0.542 states/eV per atom
**Formation energy**: -0.77 eV per atom
**V**: 37.93 Å³/atom
**Space group**: I4/mmm

=====

Lu2TlFe | PBE | relaxed

a = 10.0346 Å, b = 10.0346 Å, c = 10.0346 Å
α = 20.18°, β = 20.18°, γ = 20.18°
Positions (direct):
Lu (0.1088, 0.1088, 0.1088)
Lu (0.8912, 0.8912, 0.8912)
Tl (0.0000, 0.0000, 0.0000)
Fe (0.5000, 0.5000, 0.5000)

Properties
**Total magnetization**: 0.98 μB per formula unit
**D(E_F)**: 0.657 states/eV per atom
**Formation energy**: 0.17 eV per atom
**V**: 26.31 Å³/atom
**Space group**: R-3m

=====

NdInSn2Br8 | PBE | relaxed

a = 6.9133 Å, b = 7.2895 Å, c = 9.1441 Å
α = 89.94°, β = 89.95°, γ = 89.02°
Positions (direct):
Nd (0.0000, 0.0000, 0.0000)
In (0.0000, 0.0000, 0.5000)
Sn (0.5002, 0.5002, 0.2549)
Sn (0.4998, 0.4998, 0.7451)
Br (0.2424, 0.8369, 0.7728)
Br (0.2426, 0.8371, 0.2272)
Br (0.2480, 0.3232, 0.9995)
Br (0.2779, 0.3589, 0.5007)
Br (0.7221, 0.6411, 0.4993)
Br (0.7520, 0.6768, 0.0005)
Br (0.7574, 0.1629, 0.7728)
Br (0.7576, 0.1631, 0.2272)

Properties
**Total magnetization**: 0.00 μB per formula unit
**D(E_F)**: 0.000 states/eV per atom
**Calculated total energy**: -3.5036 eV per atom
**V**: 38.40 Å³/atom
**Space group**: P-1

=====

Tm2GeH | PBE | relaxed

a = 6.3932 Å, b = 6.3891 Å, c = 3.5871 Å
α = 73.77°, β = 73.64°, γ = 32.60°
Positions (direct):
Tm (0.1465, 0.1465, 0.8535)
Tm (0.8535, 0.8535, 0.1465)
Ge (0.5000, 0.5000, 0.5000)
H (0.2500, 0.2500, 0.2500)

Properties
**Total magnetization**: 0.00 μB per formula unit
**D(E_F)**: 0.599 states/eV per atom
**Calculated total energy**: -4.8462 eV per atom
**V**: 18.87 Å³/atom
**Space group**: F222

=====

Be2SbW | PBE | relaxed

a = 8.1581 Å, b = 8.1581 Å, c = 8.1581 Å
α = 21.17°, β = 21.17°, γ = 21.17°
Positions (direct):
Be (0.2444, 0.2444, 0.2444)
Be (0.7556, 0.7556, 0.7556)
Sb (0.0000, 0.0000, 0.0000)
W (0.5000, 0.5000, 0.5000)

Properties
**Total magnetization**: 0.00 μB per formula unit
**D(E_F)**: 0.459 states/eV per atom
**Calculated total energy**: -5.4355 eV per atom
**V**: 15.51 Å³/atom
**Space group**: R-3m

=====

CdCoSb | PBE | relaxed

a = 4.2830 Å, b = 4.2830 Å, c = 3.8227 Å
α = 90.00°, β = 90.00°, γ = 120.00°
Positions (direct):
Cd (0.0000, 0.0000, 0.0000)
Co (0.3333, 0.6667, 0.4987)
Sb (0.6667, 0.3333, 0.5001)

Properties
**Total magnetization**: 0.84 μB per formula unit
**D(E_F)**: 0.795 states/eV per atom
**Calculated total energy**: -3.7706 eV per atom
**V**: 20.24 Å³/atom
**Space group**: P3m1

=====

Zn4Pt2Rh | PBE | relaxed

a = 5.2569 Å, b = 5.2569 Å, c = 5.2569 Å
α = 112.81°, β = 112.81°, γ = 102.98°
Positions (direct):
Zn (0.0000, 0.0000, 0.5000)
Zn (0.0000, 0.5000, 0.0000)
Zn (0.5000, 0.0000, 0.0000)
Zn (0.5000, 0.5000, 0.5000)
Pt (0.0000, 0.5000, 0.5000)
Pt (0.5000, 0.0000, 0.5000)
Rh (0.0000, 0.0000, 0.0000)

Properties
**Total magnetization**: 0.00 μB per formula unit
**D(E_F)**: 0.487 states/eV per atom
**Formation energy**: -0.45 eV per atom
**V**: 15.82 Å³/atom
**Space group**: I4/mmm